Record 1
An optimized crystal structure of Sm2TmSbO6, computed with GGA-PBE.

raw total energy	-72.49	eV/cell
symmetry	No. 2
density	8.0	g cm⁻³

The structure in POSCAR format:
```
Sm2TmSbO6
1.0
5.223 0.000 0.000
-0.989 5.183 0.000
-1.466 -2.020 5.282
O Sb Sm Tm
6 1 2 1
Direct
0.256 0.740 0.068 O
0.389 0.350 0.254 O
0.822 0.840 0.265 O
0.178 0.160 0.735 O
0.611 0.650 0.746 O
0.744 0.260 0.932 O
0.500 0.500 0.000 Sb
0.249 0.747 0.475 Sm
0.751 0.253 0.525 Sm
0.000 0.000 0.000 Tm
```

---

Record 2
An optimized crystal structure of Sm2TmSbO6, computed with GGA-PBE.

raw total energy	-151.54	eV/cell
symmetry	No. 15
density	7.7	g cm⁻³

The structure in POSCAR format:
```
Sm2TmSbO6
1.0
5.260 -2.974 0.000
5.260 2.974 0.000
-4.057 0.000 9.422
O Sb Sm Tm
12 2 4 2
Direct
0.338 0.767 0.059 O
0.258 0.382 0.141 O
0.794 0.901 0.198 O
0.099 0.206 0.302 O
0.618 0.742 0.359 O
0.233 0.662 0.441 O
0.767 0.338 0.559 O
0.382 0.258 0.641 O
0.901 0.794 0.698 O
0.206 0.099 0.802 O
0.742 0.618 0.859 O
0.662 0.233 0.941 O
0.500 0.000 0.000 Sb
0.000 0.500 0.500 Sb
0.820 0.472 0.140 Sm
0.528 0.180 0.360 Sm
0.472 0.820 0.640 Sm
0.180 0.528 0.860 Sm
0.215 0.785 0.250 Tm
0.785 0.215 0.750 Tm
```